Here is a relaxed Y3MnFe crystal from Alexandria via LeMat-Bulk. Energies are from GGA-PBE.

Unit cell a=5.1579 b=5.1579 c=5.1579 alpha=90.00 beta=90.00 gamma=90.00
Fractional positions:
Y  0.0000  0.0000  0.5000
Y  0.0000  0.5000  0.0000
Y  0.5000  0.0000  0.0000
Mn  0.5000  0.5000  0.5000
Fe  0.0000  0.0000  0.0000

Results
Its total energy is -7.0349 eV/atom. For the formation energy, the calculation gives 370 meV/atom.